[1]
Below is a crystal of MgRuC2 relaxed with PBEsol, with properties calculated at the meta-GGA SCAN level.

* calculated formation energy: 0.63 eV/atom
* crystal system: tetragonal
* E: -115.0 eV per cell

a b c (Å): 4.8161 4.8161 5.7177
angles (deg): 114.91 114.91 90.00
Element x y z (fractional)
Ru (0.2500, 0.7500, 0.5000)
Ru (0.0000, 0.0000, 0.0000)
Mg (0.7500, 0.2500, 0.5000)
Mg (0.5000, 0.5000, 0.0000)
C (0.3158, 0.8750, 0.2500)
C (0.9342, 0.3750, 0.2500)
C (0.1250, 0.0658, 0.7500)
C (0.6250, 0.6842, 0.7500)

[2]
Below is a crystal of TaGeP2S relaxed with PBEsol, with properties calculated at the meta-GGA SCAN level.

* crystal system: tetragonal
* E: -110.3 eV per cell
* uncorrected formation energy: 1.161 eV/atom

a b c (Å): 4.5214 4.4931 4.4931
angles (deg): 90.00 90.00 90.00
Element x y z (fractional)
P (0.0000, 0.0000, 0.5000)
P (0.0000, 0.5000, 0.0000)
Ge (0.0000, 0.0000, 0.0000)
S (0.5000, 0.0000, 0.0000)
Ta (0.5000, 0.5000, 0.5000)